Density functional theory data (GGA-PBE) for Mg2CdGaHg8 after structural relaxation.

**Mass density**: 9.8 g/cm³
**Energy relative to the elements**: 0.030 eV/atom

Lattice parameters (Å, degrees): 6.8120 6.8120 7.7167 90.00 90.00 120.00
Space group P-3m1 (No. 164)
Inequivalent atoms, fractional coordinates:
1 Mg 0.3333 0.6667 0.4552
2 Cd 0.0000 0.0000 0.5000
3 Ga 0.0000 0.0000 0.0000
4 Hg 0.1799 0.3597 0.7617
5 Hg 0.3333 0.6667 0.0970